Entry 1:
A plane-wave DFT calculation with GGA-PBEsol was carried out for a geometry-optimized RbSrLi2Ni structure.

It has space group P4/mmm (No. 123), with a = 4.7722 Å, b = 4.7722 Å, c = 6.2709 Å, α = 90.00°, β = 90.00° and γ = 90.00°. The asymmetric unit holds Rb at (0.0000, 0.0000, 0.0000), Sr at (0.0000, 0.0000, 0.5000), Li at (0.0000, 0.5000, 0.0000) and Ni at (0.5000, 0.5000, 0.5000).

=====

Entry 2:
A plane-wave DFT calculation with GGA-PBEsol was carried out for a geometry-optimized RbLiTaNi2 structure.

It has space group P4/mmm (No. 123), with a = 4.3857 Å, b = 4.3857 Å, c = 4.5278 Å, α = 90.00°, β = 90.00° and γ = 90.00°. The asymmetric unit holds Rb at (0.0000, 0.0000, 0.0000), Li at (0.5000, 0.5000, 0.5000), Ta at (0.5000, 0.5000, 0.0000) and Ni at (0.0000, 0.5000, 0.5000).

=====

| no. | DFT formation energy (kJ per mole of atoms) | uncorrected energy (eV/atom) |
| --- | --- | --- |
| 1 | 119.1 | -1.36 |
| 2 | 158.5 | -3.93 |